Entry from Alexandria via LeMat-Bulk: crystalline ZrTlSe at its relaxed geometry (PBE-GGA).

Excess energy over the best structure of this formula in the dataset   1.74 eV/f.u.
Calculated volume   76.4 Å³/cell
Symmetry   No. 216
Formation energy from raw total energies   -11 kJ/mol of formula units

a = 4.763 Å, b = 4.763 Å, c = 4.763 Å
α = 60.00°, β = 60.00°, γ = 60.00°
Element x y z (fractional)
Zr 0.500 0.500 0.500
Se 0.750 0.750 0.750
Tl 0.000 0.000 0.000

Entry from Alexandria via LeMat-Bulk: crystalline BaNaSrZn at its relaxed geometry (PBE-GGA).

Energy relative to the elements   -0.4 eV/f.u.
Calculated volume   158.4 Å³/cell
Symmetry   No. 99

a = 4.058 Å, b = 4.058 Å, c = 9.616 Å
α = 90.00°, β = 90.00°, γ = 90.00°
Element x y z (fractional)
Ba 0.500 0.500 0.771
Na 0.000 0.000 0.083
Zn 0.000 0.000 0.560
Sr 0.500 0.500 0.371

Entry from Alexandria via LeMat-Bulk: crystalline CaCd3Pd2 at its relaxed geometry (PBE-GGA).

Energy relative to the elements   -1.9 eV/f.u.
Calculated volume   249.4 Å³/cell
Symmetry   No. 166

a = 6.451 Å, b = 6.451 Å, c = 7.859 Å
α = 65.77°, β = 65.77°, γ = 60.00°
Element x y z (fractional)
Cd 0.237 0.728 0.308
Cd 0.272 0.763 0.692
Pd 0.000 0.500 0.000
Ca 0.230 0.230 0.310
Cd 0.728 0.237 0.308
Cd 0.272 0.272 0.692
Cd 0.763 0.272 0.692
Pd 0.000 0.000 0.000
Pd 0.500 0.500 0.000
Ca 0.770 0.770 0.690
Pd 0.500 0.000 0.000
Cd 0.728 0.728 0.308

no.,DOS at the Fermi energy (states/eV/f.u.)
1,2.9
2,3.1
3,2.9